Run a
# ErZnInSe3

An optimized crystal structure of ErZnInSe3 (PBE, OQMD via LeMat-Bulk).

Unit cell a=8.2166 b=4.0784 c=10.5229 alpha=90.00 beta=108.88 gamma=90.00
Atoms (fractional coordinates):
Zn 0.9247 0.7500 0.3906
Zn 0.0753 0.2500 0.6094
Se 0.7715 0.2500 0.4378
Se 0.9388 0.7500 0.1610
Se 0.5522 0.2500 0.8587
Se 0.2285 0.7500 0.5622
Se 0.0612 0.2500 0.8390
Se 0.4478 0.7500 0.1413
In 0.7280 0.7500 0.7131
In 0.2720 0.2500 0.2869
Er 0.6910 0.2500 0.1399
Er 0.3090 0.7500 0.8601

theoretical density: 5.8 g/cm3
volume: 27.81 Å³/atom
space group: No. 11



Run b
# ErZnInSe3

An optimized crystal structure of ErZnInSe3 (PBE, OQMD via LeMat-Bulk).

Unit cell a=11.5910 b=4.2179 c=12.4678 alpha=90.00 beta=90.00 gamma=90.00
Atoms (fractional coordinates):
Se 0.9616 0.0000 0.1601
Se 0.9048 0.5000 0.5653
Se 0.2715 0.0000 0.6911
Se 0.2285 0.5000 0.1911
Se 0.4616 0.0000 0.3399
Se 0.4048 0.5000 0.9347
Se 0.7715 0.0000 0.8089
Se 0.0952 0.0000 0.4347
Se 0.0384 0.5000 0.8399
Se 0.5952 0.0000 0.0653
Se 0.7285 0.5000 0.3089
Se 0.5384 0.5000 0.6601
In 0.8258 0.5000 0.9978
In 0.1742 0.0000 0.0022
In 0.6742 0.0000 0.4978
In 0.3258 0.5000 0.5022
Er 0.9802 0.5000 0.3186
Er 0.4802 0.5000 0.1814
Er 0.0198 0.0000 0.6814
Er 0.5198 0.0000 0.8186
Zn 0.2476 0.5000 0.8014
Zn 0.2524 0.0000 0.3014
Zn 0.7524 0.0000 0.1986
Zn 0.7476 0.5000 0.6986

theoretical density: 6.4 g/cm3
volume: 25.40 Å³/atom
space group: No. 62



Stability verdict: run a, ahead by 47 meV/atom